ErTmGa2F2 (PBE, relaxed); space-group type = P3m1; E = -4.9791 eV/atom; total magnetic moment = 0.002 μB per formula unit; calculated density = 7.782 Mg/m³
1.0
-1.147 -2.318 -2.845
3.739 0.307 0.841
-0.720 -6.470 5.560
Er F Ga Tm
1 2 2 1
direct
0.000 0.000 0.751
0.333 0.667 0.130
0.667 0.333 0.872
0.667 0.333 0.451
0.333 0.667 0.548
0.000 0.000 0.249